[1]
Entry from Alexandria: a relaxed structure of Li2AlW (GGA-PBEsol).

Unit cell a=3.662 b=3.662 c=4.349 alpha=90.00 beta=90.00 gamma=90.00
Positions (direct):
Al (0.000, 0.000, 0.500)
W (0.500, 0.500, 0.500)
Li (0.000, 0.500, 0.000)
Li (0.500, 0.000, 0.000)

Computed properties:
ΔH_f (0 K)	377.9	meV per atom
space group	No. 123

=====

[2]
Entry from Alexandria: a relaxed structure of FeSiAgRh2 (GGA-PBEsol).

Unit cell a=4.425 b=4.723 c=4.723 alpha=90.00 beta=90.00 gamma=90.00
Positions (direct):
Si (0.500, 0.500, 0.500)
Rh (0.000, 0.000, 0.500)
Rh (0.000, 0.500, 0.000)
Fe (0.500, 0.000, 0.000)
Ag (0.000, 0.000, 0.000)

Computed properties:
space group	No. 123

=====

[3]
Entry from Alexandria: a relaxed structure of SrTaPd2I (GGA-PBEsol).

Unit cell a=4.961 b=4.961 c=5.290 alpha=90.00 beta=90.00 gamma=90.00
Positions (direct):
I (0.000, 0.000, 0.500)
Sr (0.500, 0.500, 0.500)
Pd (0.000, 0.500, 0.000)
Pd (0.500, 0.000, 0.000)
Ta (0.000, 0.000, 0.000)

Computed properties:
space group	No. 123

=====

What are the density of states at the Fermi level values for these records? In order: 2.043; 7.170; 3.442 states/eV/cell.
What are the E values for these records? In order: -5.0803; -5.0018; -5.4628 eV/atom.